A plane-wave DFT calculation with PBE was carried out for a relaxed structure of MgCdSi.

a = 4.591 Å, b = 4.591 Å, c = 3.299 Å
α = 90.00°, β = 90.00°, γ = 120.00°
Sites, in units of the cell vectors:
1 Mg 0.000 0.000 0.000
2 Cd 0.333 0.667 0.500
3 Si 0.667 0.333 0.503

Calculated values
formation energy (no corrections): 0.18 eV per atom
calculated density: 4.55 g cm⁻³
crystal system: trigonal
N(E_F): 0.158 states/eV per atom
VASP energy: -7.41 eV/cell